Compound: Y2U2Se7
Source: Alexandria via LeMat-Bulk
Functional: PBE
Structure: relaxed

```
data_Y2U2Se7
_symmetry_space_group_name_H-M 'P 1'
_symmetry_Int_Tables_number 1
_cell_length_a 4.827
_cell_length_b 4.827
_cell_length_c 13.628
_cell_angle_alpha 90.00
_cell_angle_beta 90.00
_cell_angle_gamma 90.00
loop_
_symmetry_equiv_pos_as_xyz
'x,y,z'
loop_
_atom_site_label
_atom_site_type_symbol
_atom_site_fract_x
_atom_site_fract_y
_atom_site_fract_z
Y1 Y 0.000 0.500 0.139
Y2 Y 0.500 0.000 0.861
U1 U 0.000 0.500 0.625
U2 U 0.500 0.000 0.375
Se1 Se 0.000 0.000 0.238
Se2 Se 0.000 0.000 0.500
Se3 Se 0.000 0.000 0.762
Se4 Se 0.500 0.500 0.000
Se5 Se 0.500 0.500 0.258
Se6 Se 0.500 0.500 0.500
Se7 Se 0.500 0.500 0.742
```

DOS at the Fermi energy: 1.2388 states/eV per atom
Relative energy among the computed polymorphs: 0.110 eV per atom
ΔE_f (raw): -1.326 eV/atom